Density functional theory data (GGA-PBE) for a relaxed Tb2Ho3Er6Tm crystal. Values from VASP.

Results
The formation energy from the elements comes out at 0.021 eV/atom. As for the density of states at the Fermi level: 16.1 states/eV/cell. The calculation puts the total energy at -4.550 eV/atom. As for the space group: C2/m (12).

Geometry as Quantum ESPRESSO input:
```
&SYSTEM
  ibrav = 0, nat = 12, ntyp = 4
/
ATOMIC_SPECIES
Tb 158.93 Tb.upf
Ho 164.93 Ho.upf
Er 167.26 Er.upf
Tm 168.93 Tm.upf
CELL_PARAMETERS angstrom
3.0405 -5.2598 0.0000
3.0405 5.2598 0.0000
-2.0175 0.0000 11.4530
ATOMIC_POSITIONS crystal
Tb 0.1666 0.8334 0.0000
Tb 0.8334 0.1666 0.0000
Ho 0.0000 0.0000 0.5000
Ho 0.3335 0.6665 0.5000
Ho 0.6665 0.3335 0.5000
Er 0.0836 0.4166 0.7498
Er 0.2505 0.2505 0.2504
Er 0.4166 0.0836 0.7498
Er 0.5834 0.9164 0.2502
Er 0.7495 0.7495 0.7496
Er 0.9164 0.5834 0.2502
Tm 0.5000 0.5000 0.0000
```



Density functional theory data (GGA-PBE) for a relaxed Tb6Ho3ErTm2 crystal. Values from VASP.

Results
The formation energy from the elements comes out at 0.018 eV/atom. As for the density of states at the Fermi level: 15.7 states/eV/cell. The calculation puts the total energy at -4.567 eV/atom. As for the space group: C2/m (12).

Geometry as Quantum ESPRESSO input:
```
&SYSTEM
  ibrav = 0, nat = 12, ntyp = 4
/
ATOMIC_SPECIES
Tb 158.93 Tb.upf
Ho 164.93 Ho.upf
Er 167.26 Er.upf
Tm 168.93 Tm.upf
CELL_PARAMETERS angstrom
3.0569 -5.2896 0.0000
3.0569 5.2896 0.0000
-2.0281 0.0000 11.4916
ATOMIC_POSITIONS crystal
Tb 0.0832 0.4166 0.7508
Tb 0.2499 0.2499 0.2492
Tb 0.4166 0.0832 0.7508
Tb 0.5834 0.9168 0.2492
Tb 0.7501 0.7501 0.7508
Tb 0.9168 0.5834 0.2492
Ho 0.0000 0.0000 0.5000
Ho 0.3333 0.6667 0.5000
Ho 0.6667 0.3333 0.5000
Er 0.5000 0.5000 0.0000
Tm 0.1667 0.8333 0.0000
Tm 0.8333 0.1667 0.0000
```



Density functional theory data (GGA-PBE) for a relaxed TbHoErTm crystal. Values from VASP.

Results
The formation energy from the elements comes out at 0.138 eV/atom. As for the density of states at the Fermi level: 38.2 states/eV/cell. Its energy above the most stable polymorph in this dataset is 115.4 meV per atom. The calculation puts the total energy at -4.423 eV/atom. As for the space group: F-43m (216).

Geometry as Quantum ESPRESSO input:
```
&SYSTEM
  ibrav = 0, nat = 16, ntyp = 4
/
ATOMIC_SPECIES
Tb 158.93 Tb.upf
Ho 164.93 Ho.upf
Er 167.26 Er.upf
Tm 168.93 Tm.upf
CELL_PARAMETERS angstrom
7.9314 0.0000 0.0000
0.0000 7.9314 0.0000
0.0000 0.0000 7.9314
ATOMIC_POSITIONS crystal
Tb 0.0000 0.0000 0.0000
Tb 0.0000 0.5000 0.5000
Tb 0.5000 0.0000 0.5000
Tb 0.5000 0.5000 0.0000
Ho 0.0000 0.0000 0.5000
Ho 0.0000 0.5000 0.0000
Ho 0.5000 0.0000 0.0000
Ho 0.5000 0.5000 0.5000
Er 0.2500 0.2500 0.2500
Er 0.2500 0.7500 0.7500
Er 0.7500 0.2500 0.7500
Er 0.7500 0.7500 0.2500
Tm 0.2500 0.2500 0.7500
Tm 0.2500 0.7500 0.2500
Tm 0.7500 0.2500 0.2500
Tm 0.7500 0.7500 0.7500
```



Density functional theory data (GGA-PBE) for a relaxed TbHoErTm crystal. Values from VASP.

Results
The formation energy from the elements comes out at 0.023 eV/atom. As for the density of states at the Fermi level: 11.5 states/eV/cell. Its energy above the most stable polymorph in this dataset is 0.0 meV per atom. The calculation puts the total energy at -4.538 eV/atom. As for the space group: I-4m2 (119).

Geometry as Quantum ESPRESSO input:
```
&SYSTEM
  ibrav = 0, nat = 8, ntyp = 4
/
ATOMIC_SPECIES
Tb 158.93 Tb.upf
Ho 164.93 Ho.upf
Er 167.26 Er.upf
Tm 168.93 Tm.upf
CELL_PARAMETERS angstrom
4.9648 0.0000 0.0000
0.0000 4.9648 0.0000
0.0000 0.0000 9.9310
ATOMIC_POSITIONS crystal
Tb 0.0000 0.0000 0.0000
Tb 0.5000 0.5000 0.5000
Ho 0.0000 0.5000 0.2500
Ho 0.5000 0.0000 0.7500
Er 0.0000 0.0000 0.5000
Er 0.5000 0.5000 0.0000
Tm 0.0000 0.5000 0.7500
Tm 0.5000 0.0000 0.2500
```



Density functional theory data (GGA-PBE) for a relaxed Tb2HoEr2Tm2 crystal. Values from VASP.

Results
The formation energy from the elements comes out at 0.155 eV/atom. As for the density of states at the Fermi level: 23.1 states/eV/cell. The calculation puts the total energy at -4.403 eV/atom. As for the space group: C2/m (12).

Geometry as Quantum ESPRESSO input:
```
&SYSTEM
  ibrav = 0, nat = 14, ntyp = 4
/
ATOMIC_SPECIES
Tb 158.93 Tb.upf
Ho 164.93 Ho.upf
Er 167.26 Er.upf
Tm 168.93 Tm.upf
CELL_PARAMETERS angstrom
11.3708 0.0000 0.0000
0.0000 3.4532 0.0000
-2.4686 0.0000 11.3409
ATOMIC_POSITIONS crystal
Tb 0.2015 0.0000 0.3615
Tb 0.2985 0.5000 0.6385
Tb 0.7015 0.5000 0.3615
Tb 0.7985 0.0000 0.6385
Ho 0.0000 0.5000 0.5000
Ho 0.5000 0.0000 0.5000
Er 0.1443 0.0000 0.0579
Er 0.3557 0.5000 0.9421
Er 0.6443 0.5000 0.0579
Er 0.8557 0.0000 0.9421
Tm 0.0506 0.5000 0.7979
Tm 0.4494 0.0000 0.2021
Tm 0.5506 0.0000 0.7979
Tm 0.9494 0.5000 0.2021
```



Density functional theory data (GGA-PBE) for a relaxed Tb3Ho6Er2Tm crystal. Values from VASP.

Results
The formation energy from the elements comes out at 0.019 eV/atom. As for the density of states at the Fermi level: 16.0 states/eV/cell. The calculation puts the total energy at -4.560 eV/atom. As for the space group: C2/m (12).

Geometry as Quantum ESPRESSO input:
```
&SYSTEM
  ibrav = 0, nat = 12, ntyp = 4
/
ATOMIC_SPECIES
Tb 158.93 Tb.upf
Ho 164.93 Ho.upf
Er 167.26 Er.upf
Tm 168.93 Tm.upf
CELL_PARAMETERS angstrom
3.0489 -5.2744 0.0000
3.0489 5.2744 0.0000
-2.0213 0.0000 11.4821
ATOMIC_POSITIONS crystal
Tb 0.0000 0.0000 0.0000
Tb 0.3333 0.6667 0.0000
Tb 0.6667 0.3333 0.0000
Ho 0.0840 0.4172 0.2516
Ho 0.2496 0.2496 0.7485
Ho 0.4172 0.0840 0.2516
Ho 0.5828 0.9160 0.7484
Ho 0.7504 0.7504 0.2515
Ho 0.9160 0.5828 0.7484
Er 0.1666 0.8334 0.5000
Er 0.8334 0.1666 0.5000
Tm 0.5000 0.5000 0.5000
```



Density functional theory data (GGA-PBE) for a relaxed Tb2HoErTm5 crystal. Values from VASP.

Results
The formation energy from the elements comes out at 0.154 eV/atom. As for the density of states at the Fermi level: 26.4 states/eV/cell. The calculation puts the total energy at -4.375 eV/atom. As for the space group: Cmc2_1 (36).

Geometry as Quantum ESPRESSO input:
```
&SYSTEM
  ibrav = 0, nat = 18, ntyp = 4
/
ATOMIC_SPECIES
Tb 158.93 Tb.upf
Ho 164.93 Ho.upf
Er 167.26 Er.upf
Tm 168.93 Tm.upf
CELL_PARAMETERS angstrom
2.7590 -9.7840 0.0000
2.7590 9.7840 0.0000
0.0000 0.0000 10.4631
ATOMIC_POSITIONS crystal
Tb 0.1103 0.8897 0.5000
Tb 0.1130 0.8870 0.0832
Tb 0.8870 0.1130 0.5832
Tb 0.8897 0.1103 0.0000
Ho 0.2003 0.7997 0.7753
Ho 0.7997 0.2003 0.2753
Er 0.4133 0.5867 0.2220
Er 0.5867 0.4133 0.7220
Tm 0.0186 0.9814 0.7888
Tm 0.2817 0.7183 0.0713
Tm 0.3009 0.6991 0.4737
Tm 0.3898 0.6102 0.7859
Tm 0.4796 0.5204 0.5023
Tm 0.5204 0.4796 0.0023
Tm 0.6102 0.3898 0.2859
Tm 0.6991 0.3009 0.9737
Tm 0.7183 0.2817 0.5713
Tm 0.9814 0.0186 0.2888
```



Density functional theory data (GGA-PBE) for a relaxed Tb2HoErTm crystal. Values from VASP.

Results
The formation energy from the elements comes out at 0.416 eV/atom. As for the density of states at the Fermi level: 14.2 states/eV/cell. The calculation puts the total energy at -4.158 eV/atom. As for the space group: Cmcm (63).

Geometry as Quantum ESPRESSO input:
```
&SYSTEM
  ibrav = 0, nat = 10, ntyp = 4
/
ATOMIC_SPECIES
Tb 158.93 Tb.upf
Ho 164.93 Ho.upf
Er 167.26 Er.upf
Tm 168.93 Tm.upf
CELL_PARAMETERS angstrom
4.1468 -5.6521 0.0000
4.1468 5.6521 0.0000
0.0000 0.0000 7.1743
ATOMIC_POSITIONS crystal
Tb 0.1925 0.1925 0.0000
Tb 0.1925 0.1925 0.5000
Tb 0.8075 0.8075 0.0000
Tb 0.8075 0.8075 0.5000
Ho 0.2256 0.7744 0.7500
Ho 0.7744 0.2256 0.2500
Er 0.2239 0.7761 0.2500
Er 0.7761 0.2239 0.7500
Tm 0.4993 0.5007 0.2500
Tm 0.5007 0.4993 0.7500
```



Density functional theory data (GGA-PBE) for a relaxed TbHo3Er6Tm2 crystal. Values from VASP.

Results
The formation energy from the elements comes out at 0.022 eV/atom. As for the density of states at the Fermi level: 16.4 states/eV/cell. The calculation puts the total energy at -4.535 eV/atom. As for the space group: C2/m (12).

Geometry as Quantum ESPRESSO input:
```
&SYSTEM
  ibrav = 0, nat = 12, ntyp = 4
/
ATOMIC_SPECIES
Tb 158.93 Tb.upf
Ho 164.93 Ho.upf
Er 167.26 Er.upf
Tm 168.93 Tm.upf
CELL_PARAMETERS angstrom
3.0354 -5.2502 0.0000
3.0354 5.2502 0.0000
-2.0138 0.0000 11.4356
ATOMIC_POSITIONS crystal
Tb 0.0000 0.0000 0.0000
Ho 0.1669 0.8331 0.5000
Ho 0.5000 0.5000 0.5000
Ho 0.8331 0.1669 0.5000
Er 0.0834 0.4170 0.2497
Er 0.2503 0.2503 0.7503
Er 0.4170 0.0834 0.2497
Er 0.5830 0.9166 0.7503
Er 0.7497 0.7497 0.2497
Er 0.9166 0.5830 0.7503
Tm 0.3334 0.6666 0.0000
Tm 0.6666 0.3334 0.0000
```



Density functional theory data (GGA-PBE) for a relaxed Tb6Y2HoEr3 crystal. Values from VASP.

Results
The formation energy from the elements comes out at 0.018 eV/atom. As for the density of states at the Fermi level: 16.2 states/eV/cell. The calculation puts the total energy at -4.897 eV/atom. As for the space group: C2/m (12).

Geometry as Quantum ESPRESSO input:
```
&SYSTEM
  ibrav = 0, nat = 12, ntyp = 4
/
ATOMIC_SPECIES
Tb 158.93 Tb.upf
Y 88.91 Y.upf
Ho 164.93 Ho.upf
Er 167.26 Er.upf
CELL_PARAMETERS angstrom
3.0730 -5.3170 0.0000
3.0730 5.3170 0.0000
-2.0373 0.0000 11.5586
ATOMIC_POSITIONS crystal
Tb 0.0843 0.4168 0.7515
Tb 0.2483 0.2483 0.2484
Tb 0.4168 0.0843 0.7515
Tb 0.5832 0.9157 0.2485
Tb 0.7517 0.7517 0.7516
Tb 0.9157 0.5832 0.2485
Y 0.3334 0.6666 0.5000
Y 0.6666 0.3334 0.5000
Ho 0.0000 0.0000 0.5000
Er 0.1667 0.8333 0.0000
Er 0.5000 0.5000 0.0000
Er 0.8333 0.1667 0.0000
```



Question: Look up the density of states at the Fermi level of the third one.
Answer: 38.2 states/eV/cell



Question: Look up the density of states at the Fermi level of the tenth one.
Answer: 16.2 states/eV/cell



Question: Among the records above, which one has the highest formation energy from the elements?
Answer: Tb2HoErTm